CaPm3Sm6Y2 | GGA-PBE | optimized geometry

Structure (extended XYZ):
```
12
Lattice="-3.339 -5.024 1.890 6.048 0.612 1.736 -4.276 7.356 8.492" Properties=species:S:1:pos:R:3 pbc="T T T"
Sm -1.979 -0.234 3.075
Sm 1.211 1.681 3.023
Sm 0.943 -1.438 4.831
Sm -2.511 4.382 7.286
Sm 0.411 3.178 9.042
Sm -2.779 1.263 9.094
Pm -3.918 -0.410 6.110
Pm -0.784 1.472 6.059
Pm 2.350 3.353 6.007
Y 2.919 -1.267 1.787
Y -0.210 -3.145 1.838
Ca 0.000 0.000 0.000
```

Summary:
For the calculated volume, the calculation gives 34.13 Å³ per atom. The calculation puts the calculated total energy at -4.752 eV/atom. The space group is No. 12. The size of the total moment comes out at 0.000 μB per formula unit. The calculation puts the formation energy from the elements at 0.040 eV per atom.